AgBSN2 | GGA-PBE | optimized geometry

a = 3.254 Å, b = 3.254 Å, c = 7.778 Å
α = 90.00°, β = 90.00°, γ = 90.00°
Sites, in units of the cell vectors:
Ag 0.000 0.000 0.000
B 0.500 0.500 0.500
S 0.500 0.500 0.000
N 0.000 0.500 0.500
N 0.500 0.000 0.500

Properties
Final energy = -4.89 eV/atom
E_form (uncorrected) = 1.17 eV/atom
Space group = P4/mmm (123)
Total magnetic moment = 0.0 Bohr magnetons per cell

***

AgBS2N | GGA-PBE | optimized geometry

a = 4.932 Å, b = 4.932 Å, c = 4.031 Å
α = 90.00°, β = 90.00°, γ = 90.00°
Sites, in units of the cell vectors:
Ag 0.000 0.000 0.000
B 0.500 0.500 0.500
S 0.000 0.500 0.000
S 0.500 0.000 0.000
N 0.000 0.000 0.500

Properties
Final energy = -3.05 eV/atom
E_form (uncorrected) = 2.17 eV/atom
Space group = P4/mmm (123)
Total magnetic moment = 1.5 Bohr magnetons per cell

***

AgBSN2 | GGA-PBE | optimized geometry

a = 4.015 Å, b = 4.015 Å, c = 5.312 Å
α = 90.00°, β = 90.00°, γ = 90.00°
Sites, in units of the cell vectors:
Ag 0.000 0.000 0.000
B 0.500 0.500 0.500
S 0.000 0.000 0.500
N 0.000 0.500 0.000
N 0.500 0.000 0.000

Properties
Final energy = -3.40 eV/atom
E_form (uncorrected) = 2.67 eV/atom
Space group = P4/mmm (123)
Total magnetic moment = 3.6 Bohr magnetons per cell

***

AgBS2N | GGA-PBE | optimized geometry

a = 5.302 Å, b = 5.302 Å, c = 2.669 Å
α = 90.00°, β = 90.00°, γ = 90.00°
Sites, in units of the cell vectors:
Ag 0.000 0.000 0.000
B 0.500 0.500 0.500
S 0.000 0.500 0.500
S 0.500 0.000 0.500
N 0.500 0.500 0.000

Properties
Final energy = -4.81 eV/atom
E_form (uncorrected) = 0.41 eV/atom
Space group = P4/mmm (123)
Total magnetic moment = 0.0 Bohr magnetons per cell

***

AgBSb2N | GGA-PBE | optimized geometry

a = 4.729 Å, b = 4.729 Å, c = 4.218 Å
α = 90.00°, β = 90.00°, γ = 90.00°
Sites, in units of the cell vectors:
Ag 0.000 0.000 0.000
B 0.500 0.500 0.000
Sb 0.000 0.500 0.500
Sb 0.500 0.000 0.500
N 0.000 0.000 0.500

Properties
Final energy = -3.92 eV/atom
E_form (uncorrected) = 1.30 eV/atom
Space group = P4/mmm (123)
Total magnetic moment = 0.0 Bohr magnetons per cell

***

ScAgBN2 | GGA-PBE | optimized geometry

a = 3.648 Å, b = 3.648 Å, c = 4.294 Å
α = 90.00°, β = 90.00°, γ = 90.00°
Sites, in units of the cell vectors:
Sc 0.000 0.000 0.000
Ag 0.500 0.500 0.000
B 0.000 0.000 0.500
N 0.000 0.500 0.500
N 0.500 0.000 0.500

Properties
Final energy = -5.26 eV/atom
E_form (uncorrected) = 1.24 eV/atom
Space group = P4/mmm (123)
Total magnetic moment = 0.0 Bohr magnetons per cell

***

AgBSe2N | GGA-PBE | optimized geometry

a = 5.204 Å, b = 5.204 Å, c = 3.967 Å
α = 90.00°, β = 90.00°, γ = 90.00°
Sites, in units of the cell vectors:
Ag 0.000 0.000 0.000
B 0.500 0.500 0.500
Se 0.000 0.500 0.000
Se 0.500 0.000 0.000
N 0.000 0.000 0.500

Properties
Final energy = -2.96 eV/atom
E_form (uncorrected) = 2.00 eV/atom
Space group = P4/mmm (123)
Total magnetic moment = 1.5 Bohr magnetons per cell

***

AgBSe2N | GGA-PBE | optimized geometry

a = 5.999 Å, b = 5.999 Å, c = 2.622 Å
α = 90.00°, β = 90.00°, γ = 90.00°
Sites, in units of the cell vectors:
Ag 0.000 0.000 0.000
B 0.500 0.500 0.500
Se 0.000 0.500 0.500
Se 0.500 0.000 0.500
N 0.500 0.500 0.000

Properties
Final energy = -4.76 eV/atom
E_form (uncorrected) = 0.20 eV/atom
Space group = P4/mmm (123)
Total magnetic moment = 0.0 Bohr magnetons per cell

***

AgBTe2N | GGA-PBE | optimized geometry

a = 6.313 Å, b = 6.313 Å, c = 2.736 Å
α = 90.00°, β = 90.00°, γ = 90.00°
Sites, in units of the cell vectors:
Ag 0.000 0.000 0.000
B 0.500 0.500 0.500
Te 0.000 0.500 0.500
Te 0.500 0.000 0.500
N 0.500 0.500 0.000

Properties
Final energy = -4.62 eV/atom
E_form (uncorrected) = 0.21 eV/atom
Space group = P4/mmm (123)
Total magnetic moment = 0.0 Bohr magnetons per cell

***

AgBTe2N | GGA-PBE | optimized geometry

a = 5.588 Å, b = 5.588 Å, c = 3.889 Å
α = 90.00°, β = 90.00°, γ = 90.00°
Sites, in units of the cell vectors:
Ag 0.000 0.000 0.000
B 0.500 0.500 0.500
Te 0.000 0.500 0.000
Te 0.500 0.000 0.000
N 0.000 0.000 0.500

Properties
Final energy = -2.94 eV/atom
E_form (uncorrected) = 1.89 eV/atom
Space group = P4/mmm (123)
Total magnetic moment = 1.2 Bohr magnetons per cell

***

AgBTeN2 | GGA-PBE | optimized geometry

a = 3.891 Å, b = 3.891 Å, c = 8.098 Å
α = 90.00°, β = 90.00°, γ = 90.00°
Sites, in units of the cell vectors:
Ag 0.000 0.000 0.000
B 0.500 0.500 0.500
Te 0.000 0.000 0.500
N 0.000 0.500 0.000
N 0.500 0.000 0.000

Properties
Final energy = -3.48 eV/atom
E_form (uncorrected) = 2.39 eV/atom
Space group = P4/mmm (123)
Total magnetic moment = 3.4 Bohr magnetons per cell

***

AgBTeN2 | GGA-PBE | optimized geometry

a = 3.590 Å, b = 3.590 Å, c = 5.711 Å
α = 90.00°, β = 90.00°, γ = 90.00°
Sites, in units of the cell vectors:
Ag 0.000 0.000 0.000
B 0.500 0.500 0.500
Te 0.500 0.500 0.000
N 0.000 0.500 0.500
N 0.500 0.000 0.500

Properties
Final energy = -4.20 eV/atom
E_form (uncorrected) = 1.67 eV/atom
Space group = P4/mmm (123)
Total magnetic moment = 0.9 Bohr magnetons per cell